No. 1
Compound: SiBr5
Source: Alexandria via LeMat-Bulk
Functional: PBE-GGA
Structure: optimized geometry

a = 8.150 Å, b = 8.150 Å, c = 7.796 Å
α = 108.71°, β = 108.71°, γ = 26.33°
Sites, in units of the cell vectors:
Si  0.000  0.000  0.000
Br  0.112  0.112  0.882
Br  0.406  0.406  0.807
Br  0.423  0.423  0.293
Br  0.593  0.593  0.305
Br  0.755  0.755  0.331



No. 2
Compound: SiBr5
Source: Alexandria via LeMat-Bulk
Functional: PBE-GGA
Structure: optimized geometry

a = 7.913 Å, b = 6.964 Å, c = 6.964 Å
α = 31.66°, β = 90.00°, γ = 90.00°
Sites, in units of the cell vectors:
Si  0.000  0.000  0.000
Br  0.000  0.366  0.366
Br  0.000  0.634  0.634
Br  0.500  0.330  0.330
Br  0.500  0.667  0.667
Br  0.500  0.999  0.999



Number 1: E_form (uncorrected) -2.04 kcal/mol of atoms, calculated volume 36.14 Å³/atom. Number 2: E_form (uncorrected) 2.05 kcal/mol of atoms, calculated volume 33.57 Å³/atom.